(1)
KTlAg, relaxed, DFT PBE; spin magnetization = 0.00 μB/f.u.; electronic total energy = -2.11 eV/atom; V = 398 Å³ per cell; symmetry = P1 (1); D(E_F) = 5.49 states/eV per cell; E_form = -0.003 eV/atom
1.0
6.9771 0.0000 0.0000
2.6392 7.1179 0.0000
0.9844 2.0787 8.0106
K Tl Ag
4 4 4
direct
0.0000 0.0000 0.0000
0.0151 0.4407 0.1090
0.2572 0.7979 0.6127
0.6516 0.2273 0.4189
0.1334 0.3253 0.5801
0.4460 0.2396 0.8703
0.5186 0.8576 0.1873
0.7053 0.8279 0.7774
0.2387 0.6258 0.3031
0.4877 0.5604 0.0158
0.7382 0.4425 0.7439
0.8273 0.7120 0.4430

(2)
CaTm2Cu3, relaxed, DFT PBE; spin magnetization = 0.00 μB/f.u.; electronic total energy = -4.09 eV/atom; V = 125 Å³ per cell; symmetry = P4/mmm (123); D(E_F) = 3.10 states/eV per cell; E_form = -0.221 eV/atom
1.0
3.4449 0.0000 0.0000
0.0000 3.4449 0.0000
0.0000 0.0000 10.5026
Ca Tm Cu
1 2 3
direct
0.0000 0.0000 0.0000
0.0000 0.0000 0.3362
0.0000 0.0000 0.6638
0.5000 0.5000 0.1898
0.5000 0.5000 0.5000
0.5000 0.5000 0.8102

(3)
Al2HgPt, relaxed, DFT PBE; spin magnetization = 0.00 μB/f.u.; electronic total energy = -3.45 eV/atom; V = 71 Å³ per cell; symmetry = F-43m (216); D(E_F) = 3.34 states/eV per cell; E_form = 0.011 eV/atom
1.0
0.0000 3.2849 3.2849
3.2849 0.0000 3.2849
3.2849 3.2849 0.0000
Al Hg Pt
2 1 1
direct
0.0000 0.0000 0.0000
0.2500 0.2500 0.2500
0.7500 0.7500 0.7500
0.5000 0.5000 0.5000

(4)
ZrAlTc, relaxed, DFT PBE; excess energy over the best structure of this formula in the dataset = 100 meV/atom; spin magnetization = 0.00 μB/f.u.; electronic total energy = -7.96 eV/atom; V = 106 Å³ per cell; symmetry = C2/m (12); D(E_F) = 3.97 states/eV per cell; E_form = -0.408 eV/atom
1.0
5.2911 -1.6499 0.0000
5.2911 1.6499 0.0000
-4.1919 0.0000 6.0796
Zr Al Tc
2 2 2
direct
0.0633 0.0633 0.2788
0.9367 0.9367 0.7212
0.3585 0.3585 0.3330
0.6415 0.6415 0.6670
0.3336 0.3336 0.9492
0.6664 0.6664 0.0508

(5)
Ni4PdPt, relaxed, DFT PBE; excess energy over the best structure of this formula in the dataset = 5 meV/atom; spin magnetization = 3.28 μB/f.u.; electronic total energy = -5.74 eV/atom; V = 76 Å³ per cell; symmetry = Pmmm (47); D(E_F) = 9.02 states/eV per cell; E_form = -0.016 eV/atom
1.0
2.6570 0.0000 0.0000
0.0000 3.6154 0.0000
0.0000 0.0000 7.8666
Ni Pd Pt
4 1 1
direct
0.0000 0.0000 0.1711
0.0000 0.0000 0.8289
0.5000 0.5000 0.3281
0.5000 0.5000 0.6719
0.0000 0.0000 0.5000
0.5000 0.5000 0.0000

(6)
ThMn4Sb12, relaxed, DFT PBE; spin magnetization = 3.98 μB/f.u.; electronic total energy = -5.62 eV/atom; V = 400 Å³ per cell; symmetry = Im-3 (204); D(E_F) = 8.99 states/eV per cell
1.0
-4.6416 4.6416 4.6416
4.6416 -4.6416 4.6416
4.6416 4.6416 -4.6416
Th Mn Sb
1 4 12
direct
0.0000 0.0000 0.0000
0.0000 0.0000 0.5000
0.0000 0.5000 0.0000
0.5000 0.0000 0.0000
0.5000 0.5000 0.5000
0.1612 0.3326 0.4938
0.1612 0.6674 0.8286
0.1714 0.8388 0.3326
0.3326 0.1714 0.8388
0.3326 0.4938 0.1612
0.4938 0.1612 0.3326
0.5062 0.8388 0.6674
0.6674 0.5062 0.8388
0.6674 0.8286 0.1612
0.8286 0.1612 0.6674
0.8388 0.3326 0.1714
0.8388 0.6674 0.5062

(7)
MgTlW, relaxed, DFT PBE; excess energy over the best structure of this formula in the dataset = 11 meV/atom; spin magnetization = 0.00 μB/f.u.; electronic total energy = -5.00 eV/atom; V = 60 Å³ per cell; symmetry = P3m1 (156); D(E_F) = 1.84 states/eV per cell; E_form = 0.637 eV/atom
1.0
3.0423 0.0000 0.0000
-1.5212 2.6347 0.0000
0.0000 0.0000 7.4555
Mg Tl W
1 1 1
direct
0.0000 0.0000 0.0000
0.3333 0.6667 0.3566
0.6667 0.3333 0.6930

(8)
AlSb2TeW, relaxed, DFT PBE; excess energy over the best structure of this formula in the dataset = 636 meV/atom; spin magnetization = 3.41 μB/f.u.; electronic total energy = -4.23 eV/atom; V = 138 Å³ per cell; symmetry = P4/mmm (123); D(E_F) = 3.57 states/eV per cell
1.0
5.1344 0.0000 0.0000
0.0000 5.1344 0.0000
0.0000 0.0000 5.2493
Al Sb Te W
1 2 1 1
direct
0.0000 0.0000 0.0000
0.0000 0.5000 0.0000
0.5000 0.0000 0.0000
0.0000 0.0000 0.5000
0.5000 0.5000 0.5000

Question: The highest D(E_F) belongs to which entry?
Answer: Ni4PdPt

Please write out number 5 again, unchanged.
Ni4PdPt, relaxed, DFT PBE; excess energy over the best structure of this formula in the dataset = 5 meV/atom; spin magnetization = 3.28 μB/f.u.; electronic total energy = -5.74 eV/atom; V = 76 Å³ per cell; symmetry = Pmmm (47); D(E_F) = 9.02 states/eV per cell; E_form = -0.016 eV/atom
1.0
2.6570 0.0000 0.0000
0.0000 3.6154 0.0000
0.0000 0.0000 7.8666
Ni Pd Pt
4 1 1
direct
0.0000 0.0000 0.1711
0.0000 0.0000 0.8289
0.5000 0.5000 0.3281
0.5000 0.5000 0.6719
0.0000 0.0000 0.5000
0.5000 0.5000 0.0000

Question: spin magnetization of number 4 (ZrAlTc)?
Answer: 0.00 μB/f.u.

Question: Look up the V of the fourth one.
Answer: 106 Å³ per cell